5
Lattice="3.202 -1.839 0.000 3.202 1.839 0.000 -2.157 0.000 4.040" Properties=species:S:1:pos:R:3 comment="GGA-PBE Be2Co2Si, optimized geometry" volume_a3_per_atom=9.5 dos_ef_per_ev_atom=0.45 e_form_raw_kcal_per_mol_atoms=-9.150 space_group="C2/m, No. 12" e_above_lowest_polymorph_mev_per_atom=0 m_tot_mub_per_cell=0.000 pbc="T T T"
Be 1.065 0.000 0.393
Be 3.183 0.000 3.647
Co 1.055 0.000 2.820
Co 3.192 0.000 1.220
Si -1.078 0.000 2.020

---

5
Lattice="-2.250 2.250 4.668 2.250 -2.250 4.668 2.250 2.250 -4.668" Properties=species:S:1:pos:R:3 comment="GGA-PBE RbRh2F2, optimized geometry" volume_a3_per_atom=18.9 dos_ef_per_ev_atom=1.70 e_form_raw_kcal_per_mol_atoms=-7.016 space_group="I4/mmm, No. 139" e_above_lowest_polymorph_mev_per_atom=179 m_tot_mub_per_cell=3.754 pbc="T T T"
Rb 0.000 0.000 0.000
Rh 0.000 0.000 3.490
Rh 0.000 0.000 5.845
F 2.250 0.000 2.334
F 0.000 2.250 2.334

---

6
Lattice="4.910 0.000 0.000 0.000 4.910 0.000 0.000 0.000 8.539" Properties=species:S:1:pos:R:3 comment="GGA-PBE SrMgSc, optimized geometry" volume_a3_per_atom=34.3 dos_ef_per_ev_atom=1.56 formation_enthalpy_0k_mev_per_atom=119 space_group="P4/nmm, No. 129" e_above_lowest_polymorph_mev_per_atom=0 m_tot_mub_per_cell=1.223 pbc="T T T"
Sr 1.228 1.228 1.383
Sr 3.683 3.683 7.156
Mg 1.228 1.228 6.200
Mg 3.683 3.683 2.339
Sc 1.228 3.683 4.270
Sc 3.683 1.228 4.270

---

Q: Number 2 is which compound?
A: RbRh2F2